First-principles (PBE) data for an optimized crystal structure of AcYNbO6, as listed in the Alexandria database.

Calculated values
**Density of states at the Fermi level**: 7.602 states/eV/cell
**Total DFT energy (no corrections)**: -8.457 eV per atom

Cell lengths 5.698, 5.698, 5.195 Å; angles 90.00, 90.00, 60.00 degrees
Atoms (fractional coordinates):
Ac (0.000, 0.000, 0.000)
Y (0.667, 0.667, 0.500)
Nb (0.333, 0.333, 0.500)
O (0.032, 0.345, 0.284)
O (0.345, 0.032, 0.716)
O (0.623, 0.345, 0.716)
O (0.032, 0.623, 0.716)
O (0.345, 0.623, 0.284)
O (0.623, 0.032, 0.284)